No. 1
DFT (PBE-GGA) results for an optimized crystal structure of La2PmPr2Mg5.

DOS at the Fermi energy	14.75	states/eV per cell
space group	P4/mbm, No. 127
total moment	0.000	μB per cell
raw total energy	-3.2133	eV per atom

a b c (Å): 10.8071 10.8071 5.2300
angles (deg): 90.00 90.00 90.00
Atoms (fractional coordinates):
La 0.1745 0.3255 0.0000
La 0.3255 0.8255 0.0000
La 0.6745 0.1745 0.0000
La 0.8255 0.6745 0.0000
Pm 0.0000 0.0000 0.0000
Pm 0.5000 0.5000 0.0000
Pr 0.1236 0.6236 0.0000
Pr 0.3764 0.1236 0.0000
Pr 0.6236 0.8764 0.0000
Pr 0.8764 0.3764 0.0000
Mg 0.0000 0.5000 0.5000
Mg 0.0741 0.8058 0.5000
Mg 0.1942 0.0741 0.5000
Mg 0.3058 0.5741 0.5000
Mg 0.4259 0.3058 0.5000
Mg 0.5000 0.0000 0.5000
Mg 0.5741 0.6942 0.5000
Mg 0.6942 0.4259 0.5000
Mg 0.8058 0.9259 0.5000
Mg 0.9259 0.1942 0.5000

***

No. 2
DFT (PBE-GGA) results for an optimized crystal structure of La5PmPr2Mg.

DOS at the Fermi energy	27.91	states/eV per cell
space group	Cmc2_1, No. 36
total moment	0.000	μB per cell
raw total energy	-4.4343	eV per atom

a b c (Å): 10.5655 10.5655 11.1157
angles (deg): 90.00 90.00 148.67
Atoms (fractional coordinates):
La 0.9997 0.0003 0.0000
La 0.0003 0.9997 0.5000
La 0.1208 0.8792 0.7509
La 0.2124 0.7876 0.4501
La 0.2136 0.7864 0.0525
La 0.4888 0.5112 0.7507
La 0.5112 0.4888 0.2507
La 0.7864 0.2136 0.5525
La 0.7876 0.2124 0.9501
La 0.8792 0.1208 0.2509
Pm 0.3066 0.6934 0.7514
Pm 0.6934 0.3066 0.2514
Pr 0.3835 0.6165 0.4611
Pr 0.3840 0.6160 0.0410
Pr 0.6160 0.3840 0.5410
Pr 0.6165 0.3835 0.9611
Mg 0.0944 0.9056 0.2494
Mg 0.9056 0.0944 0.7494

***

No. 3
DFT (PBE-GGA) results for an optimized crystal structure of LaPmMgRh.

DOS at the Fermi energy	2.98	states/eV per cell
space group	F-43m, No. 216
total moment	0.000	μB per cell
raw total energy	-4.9577	eV per atom

a b c (Å): 5.2439 5.2439 5.2439
angles (deg): 60.00 60.00 60.00
Atoms (fractional coordinates):
La 0.0000 0.0000 0.0000
Pm 0.5000 0.5000 0.5000
Mg 0.2500 0.2500 0.2500
Rh 0.7500 0.7500 0.7500